[1]
Entry from Alexandria via LeMat-Bulk: SrLa2Pb after structural relaxation (PBE-GGA).

Formation energy from the elements in eV per atom: -0.2353
Spin magnetization in μB per formula unit: 0.00

Cell: 4.3347 4.3347 7.8172 Å, 90.00 90.00 90.00°
Last column: nearest neighbours and their distance in Å.
Space group P4mm (No. 99)
Inequivalent atoms, fractional coordinates:
1 Sr 0.0000 0.0000 0.0000 [1 per cell]  1 La 3.57, 4 Pb 3.62
2 La 0.0000 0.0000 0.5431 [1 per cell]  4 La 3.47, 4 Pb 3.48, 1 Sr 3.57
3 La 0.5000 0.5000 0.3360 [1 per cell]  1 Pb 3.27, 4 La 3.47
4 Pb 0.5000 0.5000 0.7546 [1 per cell]  5 La 3.27-3.48, 4 Sr 3.62


[2]
Entry from Alexandria via LeMat-Bulk: InTe2Pt after structural relaxation (PBE-GGA).

Spin magnetization in μB per formula unit: 0.00
ΔE_f (raw) in eV/atom: 0.273

Cell: 4.9413 4.9413 7.7644 Å, 90.00 90.00 90.00°
Last column: nearest neighbours and their distance in Å.
Space group I-4m2 (No. 119)
Inequivalent atoms, fractional coordinates:
1 In 0.0000 0.0000 0.0000 [2 per cell]  8 Te 3.14-3.49, 4 Pt 3.14
2 Te 0.0000 0.0000 0.5000 [2 per cell]  4 Te 3.14, 4 Pt 3.14, 4 In 3.49
3 Te 0.0000 0.5000 0.2500 [2 per cell]  4 In 3.14, 4 Te 3.14, 4 Pt 3.49
4 Pt 0.0000 0.5000 0.7500 [2 per cell]  4 In 3.14, 8 Te 3.14-3.49


[3]
Entry from Alexandria via LeMat-Bulk: CaTaZn3 after structural relaxation (PBE-GGA).

Formation energy from the elements in eV per atom: 0.5557
Spin magnetization in μB per formula unit: 0.96

Cell: 5.0306 5.0306 5.0306 Å, 90.00 90.00 90.00°
Last column: nearest neighbours and their distance in Å.
Space group Pm-3m (No. 221)
Inequivalent atoms, fractional coordinates:
1 Ca 0.0000 0.0000 0.0000 [1 per cell]  12 Zn 3.56
2 Ta 0.5000 0.5000 0.5000 [1 per cell]  6 Zn 2.52
3 Zn 0.0000 0.5000 0.5000 [3 per cell]  2 Ta 2.52